[1]
A relaxed MoP2 crystal. Source: Alexandria via LeMat-Bulk, functional PBEsol.

a = 3.092 Å, b = 4.628 Å, c = 6.056 Å
α = 90.00°, β = 104.79°, γ = 90.00°
Atoms (fractional coordinates):
1 Mo 0.800 0.750 0.601
2 Mo 0.200 0.250 0.399
3 P 0.864 0.250 0.728
4 P 0.469 0.750 0.938
5 P 0.531 0.250 0.062
6 P 0.136 0.750 0.272

Calculated values
* energy: -49.0 eV for the cell shown
* crystal system: orthorhombic
* ΔH_f (0 K): -0.390 eV/atom



[2]
A relaxed TiAg3S crystal. Source: Alexandria via LeMat-Bulk, functional PBEsol.

a = 4.893 Å, b = 4.893 Å, c = 4.893 Å
α = 90.00°, β = 90.00°, γ = 90.00°
Site moments in Bohr magnetons follow the coordinates.
Atoms (fractional coordinates):
1 Ag 0.000 0.000 0.500  0.15
2 Ag 0.000 0.500 0.000  0.15
3 Ag 0.500 0.000 0.000  0.15
4 S 0.500 0.500 0.500  0.07
5 Ti 0.000 0.000 0.000  1.41

Calculated values
* energy: -15.6 eV for the cell shown
* formation energy (no corrections): 1.405 eV/atom
* crystal system: cubic



[3]
A relaxed CrAuO2 crystal. Source: Alexandria via LeMat-Bulk, functional PBEsol.

a = 2.985 Å, b = 2.985 Å, c = 6.333 Å
α = 76.37°, β = 76.37°, γ = 60.00°
Site moments in Bohr magnetons follow the coordinates.
Atoms (fractional coordinates):
1 O 0.887 0.887 0.340  -0.01
2 O 0.113 0.113 0.660  -0.01
3 Cr 0.500 0.500 0.500  2.81
4 Au 0.000 0.000 0.000  0.06

Calculated values
* energy: -29.6 eV for the cell shown
* formation energy (no corrections): -1.239 eV/atom
* crystal system: trigonal
* distance to the lowest polymorph of the same formula: 0.0 meV per atom